--- one ---
First-principles (GGA-PBE) data for an optimized crystal structure of PmHo2Lu, as listed in Alexandria.

## Properties
M_tot   0.0 μB/f.u.

a b c (Å): 5.0275 4.9923 4.9923
angles (deg): 90.00 90.00 90.00
With the nearest neighbours (Å) after each atom.
Fractional positions:
Lu  0.5000  0.0000  0.0000  4 Pm 3.53, 8 Ho 3.54
Ho  0.0000  0.0000  0.5000  4 Ho 3.53, 4 Pm 3.54, 4 Lu 3.54
Ho  0.0000  0.5000  0.0000  4 Ho 3.53, 4 Pm 3.54, 4 Lu 3.54
Pm  0.5000  0.5000  0.5000  4 Lu 3.53, 8 Ho 3.54

=====

--- two ---
First-principles (GGA-PBE) data for an optimized crystal structure of PmHo2Lu, as listed in Alexandria.

## Properties
M_tot   0.0 μB/f.u.

a b c (Å): 5.6437 5.6437 5.6437
angles (deg): 60.00 60.00 60.00
With the nearest neighbours (Å) after each atom.
Fractional positions:
Lu  0.5000  0.5000  0.5000  8 Ho 3.46
Ho  0.2500  0.2500  0.2500  4 Pm 3.46, 4 Lu 3.46
Ho  0.7500  0.7500  0.7500  4 Pm 3.46, 4 Lu 3.46
Pm  0.0000  0.0000  0.0000  8 Ho 3.46

=====

Energies relative to the most stable structure are one 0; two 120, reported in meV/atom.

=====

--- one ---
First-principles (GGA-PBE) data for an optimized crystal structure of PmHoLu, as listed in Alexandria.

## Properties
M_tot   0.0 μB/f.u.

a b c (Å): 3.4666 5.5931 5.5931
angles (deg): 120.00 90.00 90.00
With the nearest neighbours (Å) after each atom.
Fractional positions:
Lu  0.1657  0.0000  0.0000  3 Pm 3.23, 2 Lu 3.47
Ho  0.6668  0.3333  0.6667  2 Ho 3.47, 6 Lu 3.66-3.67, 6 Pm 3.66-3.67
Pm  0.1674  0.6667  0.3333  3 Lu 3.23, 2 Pm 3.47

=====

--- two ---
First-principles (GGA-PBE) data for an optimized crystal structure of PmHoLu, as listed in Alexandria.

## Properties
M_tot   0.0 μB/f.u.

a b c (Å): 3.5440 3.5440 7.9368
angles (deg): 102.90 102.90 90.00
With the nearest neighbours (Å) after each atom.
Fractional positions:
Lu  0.6651  0.6651  0.3302  4 Ho 3.51, 4 Lu 3.54, 4 Pm 3.56
Ho  0.0023  0.0023  0.0045  4 Lu 3.51, 4 Ho 3.54, 4 Pm 3.58
Pm  0.3326  0.3326  0.6653  4 Pm 3.54, 4 Lu 3.56, 4 Ho 3.58

=====

Energies relative to the most stable structure are one 51; two 0, reported in meV/atom.

=====

--- one ---
First-principles (GGA-PBE) data for an optimized crystal structure of PrHoLu2, as listed in Alexandria.

## Properties
M_tot   0.0 μB/f.u.

a b c (Å): 4.9579 5.0294 5.0294
angles (deg): 90.00 90.00 90.00
With the nearest neighbours (Å) after each atom.
Fractional positions:
Pr  0.5000  0.5000  0.5000  8 Lu 3.53, 4 Ho 3.56
Lu  0.0000  0.0000  0.5000  4 Pr 3.53, 4 Ho 3.53, 4 Lu 3.56
Lu  0.0000  0.5000  0.0000  4 Pr 3.53, 4 Ho 3.53, 4 Lu 3.56
Ho  0.5000  0.0000  0.0000  8 Lu 3.53, 4 Pr 3.56

=====

--- two ---
First-principles (GGA-PBE) data for an optimized crystal structure of PrHoLu2, as listed in Alexandria.

## Properties
M_tot   0.0 μB/f.u.

a b c (Å): 4.0464 4.0464 7.7601
angles (deg): 90.00 90.00 90.00
With the nearest neighbours (Å) after each atom.
Fractional positions:
Pr  0.5000  0.5000  0.5000  8 Lu 3.50, 2 Ho 3.88
Lu  0.0000  0.0000  0.7604  4 Ho 3.41, 4 Pr 3.50, 1 Lu 3.72
Lu  0.0000  0.0000  0.2396  4 Ho 3.41, 4 Pr 3.50, 1 Lu 3.72
Ho  0.5000  0.5000  0.0000  8 Lu 3.41

=====

Energies relative to the most stable structure are one 0; two 60, reported in meV/atom.

=====

--- one ---
First-principles (GGA-PBE) data for an optimized crystal structure of HoLuPt2, as listed in Alexandria.

## Properties
M_tot   0.0 μB/f.u.

a b c (Å): 4.8823 4.8823 4.8823
angles (deg): 60.00 60.00 60.00
With the nearest neighbours (Å) after each atom.
Fractional positions:
Lu  0.5000  0.5000  0.5000  8 Pt 2.99
Ho  0.0000  0.0000  0.0000  8 Pt 2.99
Pt  0.2500  0.2500  0.2500  4 Ho 2.99, 4 Lu 2.99
Pt  0.7500  0.7500  0.7500  4 Ho 2.99, 4 Lu 2.99

=====

--- two ---
First-principles (GGA-PBE) data for an optimized crystal structure of HoLuPt2, as listed in Alexandria.

## Properties
M_tot   0.0 μB/f.u.

a b c (Å): 4.0220 4.0220 6.9617
angles (deg): 73.21 73.21 60.00
With the nearest neighbours (Å) after each atom.
Fractional positions:
Lu  0.5000  0.5000  0.5000  6 Pt 2.82
Ho  0.0000  0.0000  0.0000  6 Pt 2.87
Pt  0.7522  0.7522  0.7435  3 Lu 2.82, 3 Ho 2.87
Pt  0.2478  0.2478  0.2565  3 Lu 2.82, 3 Ho 2.87

=====

Energies relative to the most stable structure are one 0; two 126, reported in meV/atom.

=====

--- one ---
First-principles (GGA-PBE) data for an optimized crystal structure of HoLuPu2, as listed in Alexandria.

## Properties
M_tot   12.8 μB/f.u.

a b c (Å): 3.3739 3.3739 10.0236
angles (deg): 90.00 90.00 90.00
With the nearest neighbours (Å) after each atom.
Fractional positions:
Lu  0.5000  0.5000  0.0000  4 Lu 3.37, 8 Pu 3.44
Ho  0.5000  0.5000  0.5000  4 Ho 3.37, 8 Pu 3.48
Pu  0.0000  0.0000  0.7526  4 Pu 3.37, 4 Lu 3.44, 4 Ho 3.48
Pu  0.0000  0.0000  0.2474  4 Pu 3.37, 4 Lu 3.44, 4 Ho 3.48

=====

--- two ---
First-principles (GGA-PBE) data for an optimized crystal structure of HoLuPu2, as listed in Alexandria.

## Properties
M_tot   11.9 μB/f.u.

a b c (Å): 3.4007 3.4007 11.4888
angles (deg): 81.49 81.49 60.00
With the nearest neighbours (Å) after each atom.
Fractional positions:
Lu  0.0000  0.0000  0.0000  6 Lu 3.40, 6 Pu 3.43
Ho  0.5000  0.5000  0.5000  6 Ho 3.40, 6 Pu 3.46
Pu  0.7494  0.7494  0.7519  6 Pu 3.40, 3 Lu 3.43, 3 Ho 3.46
Pu  0.2506  0.2506  0.2481  6 Pu 3.40, 3 Lu 3.43, 3 Ho 3.46

=====

Energies relative to the most stable structure are one 0; two 8, reported in meV/atom.

=====

--- one ---
First-principles (GGA-PBE) data for an optimized crystal structure of Ho2LuPu, as listed in Alexandria.

## Properties
M_tot   7.1 μB/f.u.

a b c (Å): 5.5243 5.5243 5.5243
angles (deg): 60.00 60.00 60.00
With the nearest neighbours (Å) after each atom.
Fractional positions:
Lu  0.5000  0.5000  0.5000  8 Ho 3.38
Ho  0.2500  0.2500  0.2500  4 Pu 3.38, 4 Lu 3.38
Ho  0.7500  0.7500  0.7500  4 Lu 3.38, 4 Pu 3.38
Pu  0.0000  0.0000  0.0000  8 Ho 3.38

=====

--- two ---
First-principles (GGA-PBE) data for an optimized crystal structure of Ho2LuPu, as listed in Alexandria.

## Properties
M_tot   6.3 μB/f.u.

a b c (Å): 4.9078 4.9181 4.9181
angles (deg): 90.00 90.00 90.00
With the nearest neighbours (Å) after each atom.
Fractional positions:
Lu  0.5000  0.5000  0.5000  8 Ho 3.47, 4 Pu 3.48
Ho  0.0000  0.0000  0.5000  4 Pu 3.47, 4 Lu 3.47, 4 Ho 3.48
Ho  0.0000  0.5000  0.0000  4 Lu 3.47, 4 Pu 3.47, 4 Ho 3.48
Pu  0.5000  0.0000  0.0000  8 Ho 3.47, 4 Lu 3.48

=====

Energies relative to the most stable structure are one 48; two 0, reported in meV/atom.

=====

--- one ---
First-principles (GGA-PBE) data for an optimized crystal structure of HoLu2Rh, as listed in Alexandria.

## Properties
M_tot   0.0 μB/f.u.

a b c (Å): 3.4386 3.4386 8.3850
angles (deg): 90.00 90.00 90.00
With the nearest neighbours (Å) after each atom.
Fractional positions:
Lu  0.0000  0.0000  0.8106  4 Rh 2.90, 1 Lu 3.18
Lu  0.0000  0.0000  0.1894  4 Rh 2.90, 1 Lu 3.18
Rh  0.5000  0.5000  0.0000  8 Lu 2.90
Ho  0.5000  0.5000  0.5000  4 Ho 3.44, 8 Lu 3.56

=====

--- two ---
First-principles (GGA-PBE) data for an optimized crystal structure of HoLu2Rh, as listed in Alexandria.

## Properties
M_tot   0.0 μB/f.u.

a b c (Å): 3.5292 3.5292 10.6062
angles (deg): 80.42 80.42 60.00
With the nearest neighbours (Å) after each atom.
Fractional positions:
Lu  0.1097  0.1097  0.6710  3 Rh 2.71
Lu  0.8903  0.8903  0.3290  3 Rh 2.71
Rh  0.5000  0.5000  0.5000  6 Lu 2.71
Ho  0.0000  0.0000  0.0000  2 Lu 3.42, 6 Ho 3.53

=====

Energies relative to the most stable structure are one 0; two 294, reported in meV/atom.

=====

--- one ---
First-principles (GGA-PBE) data for an optimized crystal structure of HoLu2Sb, as listed in Alexandria.

## Properties
M_tot   0.0 μB/f.u.

a b c (Å): 5.3063 5.3063 5.3047
angles (deg): 59.99 59.99 60.00
With the nearest neighbours (Å) after each atom.
Fractional positions:
Sb  0.5000  0.5000  0.5000  8 Lu 3.25
Lu  0.2501  0.2501  0.2497  4 Sb 3.25, 4 Ho 3.25
Lu  0.7499  0.7499  0.7503  4 Sb 3.25, 4 Ho 3.25
Ho  0.0000  0.0000  0.0000  8 Lu 3.25

=====

--- two ---
First-principles (GGA-PBE) data for an optimized crystal structure of HoLu2Sb, as listed in Alexandria.

## Properties
M_tot   0.0 μB/f.u.

a b c (Å): 3.9041 3.9041 7.2383
angles (deg): 90.00 90.00 90.00
With the nearest neighbours (Å) after each atom.
Fractional positions:
Sb  0.5000  0.5000  0.0000  8 Lu 3.21
Lu  0.0000  0.0000  0.7737  4 Sb 3.21, 1 Lu 3.28, 4 Ho 3.40
Lu  0.0000  0.0000  0.2263  4 Sb 3.21, 1 Lu 3.28, 4 Ho 3.40
Ho  0.5000  0.5000  0.5000  8 Lu 3.40, 2 Sb 3.62

=====

--- three ---
First-principles (GGA-PBE) data for an optimized crystal structure of HoLu2Sb, as listed in Alexandria.

## Properties
M_tot   0.0 μB/f.u.

a b c (Å): 4.7123 4.7166 4.7166
angles (deg): 90.00 90.00 90.00
With the nearest neighbours (Å) after each atom.
Fractional positions:
Sb  0.5000  0.0000  0.0000  8 Lu 3.33, 4 Ho 3.34
Lu  0.0000  0.0000  0.5000  4 Sb 3.33, 4 Ho 3.33, 4 Lu 3.34
Lu  0.0000  0.5000  0.0000  4 Ho 3.33, 4 Sb 3.33, 4 Lu 3.34
Ho  0.5000  0.5000  0.5000  8 Lu 3.33, 4 Sb 3.34

=====

Energies relative to the most stable structure are one 250; two 0; three 12, reported in meV/atom.

=====

--- one ---
First-principles (GGA-PBE) data for an optimized crystal structure of HoLu2Sc, as listed in Alexandria.

## Properties
M_tot   0.7 μB/f.u.

a b c (Å): 5.4703 5.4703 5.4703
angles (deg): 60.00 60.00 60.00
With the nearest neighbours (Å) after each atom.
Fractional positions:
Sc  0.5000  0.5000  0.5000  8 Lu 3.35
Lu  0.2500  0.2500  0.2500  4 Sc 3.35, 4 Ho 3.35
Lu  0.7500  0.7500  0.7500  4 Ho 3.35, 4 Sc 3.35
Ho  0.0000  0.0000  0.0000  8 Lu 3.35

=====

--- two ---
First-principles (GGA-PBE) data for an optimized crystal structure of HoLu2Sc, as listed in Alexandria.

## Properties
M_tot   0.0 μB/f.u.

a b c (Å): 4.8576 4.8402 4.8402
angles (deg): 90.00 90.00 90.00
With the nearest neighbours (Å) after each atom.
Fractional positions:
Sc  0.5000  0.0000  0.0000  4 Ho 3.42, 8 Lu 3.43
Lu  0.0000  0.0000  0.5000  4 Lu 3.42, 4 Ho 3.43, 4 Sc 3.43
Lu  0.0000  0.5000  0.0000  4 Lu 3.42, 4 Ho 3.43, 4 Sc 3.43
Ho  0.5000  0.5000  0.5000  4 Sc 3.42, 8 Lu 3.43

=====

Energies relative to the most stable structure are one 91; two 0, reported in meV/atom.

=====

--- one ---
First-principles (GGA-PBE) data for an optimized crystal structure of HoLuSc, as listed in Alexandria.

## Properties
M_tot   0.0 μB/f.u.

a b c (Å): 3.3471 5.3965 5.3965
angles (deg): 120.00 90.00 90.00
With the nearest neighbours (Å) after each atom.
Fractional positions:
Sc  0.1674  0.3333  0.6667  3 Lu 3.12, 2 Sc 3.35
Lu  0.1659  0.0000  0.0000  3 Sc 3.12, 2 Lu 3.35
Ho  0.6667  0.6667  0.3333  2 Ho 3.35, 6 Lu 3.54, 6 Sc 3.54

=====

--- two ---
First-principles (GGA-PBE) data for an optimized crystal structure of HoLuSc, as listed in Alexandria.

## Properties
M_tot   0.0 μB/f.u.

a b c (Å): 3.4254 3.4254 7.6008
angles (deg): 103.02 103.02 90.00
With the nearest neighbours (Å) after each atom.
Fractional positions:
Sc  0.6672  0.6672  0.3344  4 Lu 3.36, 4 Ho 3.38, 4 Sc 3.43
Lu  0.3288  0.3288  0.6575  4 Sc 3.36, 4 Lu 3.43, 4 Ho 3.50
Ho  0.0040  0.0040  0.0081  4 Sc 3.38, 4 Ho 3.43, 4 Lu 3.50

=====

Energies relative to the most stable structure are one 30; two 0, reported in meV/atom.

=====

--- one ---
First-principles (GGA-PBE) data for an optimized crystal structure of Ho2LuSc, as listed in Alexandria.

## Properties
M_tot   0.0 μB/f.u.

a b c (Å): 3.4537 3.4537 11.3394
angles (deg): 81.24 81.24 60.00
With the nearest neighbours (Å) after each atom.
Fractional positions:
Sc  0.0000  0.0000  0.0000  6 Ho 3.37, 6 Sc 3.45
Lu  0.5000  0.5000  0.5000  6 Lu 3.45, 6 Ho 3.49
Ho  0.7477  0.7477  0.7568  3 Sc 3.37, 6 Ho 3.45, 3 Lu 3.49
Ho  0.2523  0.2523  0.2432  3 Sc 3.37, 6 Ho 3.45, 3 Lu 3.49

=====

--- two ---
First-principles (GGA-PBE) data for an optimized crystal structure of Ho2LuSc, as listed in Alexandria.

## Properties
M_tot   0.0 μB/f.u.

a b c (Å): 5.4811 5.4811 5.4811
angles (deg): 60.00 60.00 60.00
With the nearest neighbours (Å) after each atom.
Fractional positions:
Sc  0.5000  0.5000  0.5000  8 Ho 3.36
Lu  0.0000  0.0000  0.0000  8 Ho 3.36
Ho  0.2500  0.2500  0.2500  4 Sc 3.36, 4 Lu 3.36
Ho  0.7500  0.7500  0.7500  4 Sc 3.36, 4 Lu 3.36

=====

Energies relative to the most stable structure are one 0; two 69, reported in meV/atom.

=====

--- one ---
First-principles (GGA-PBE) data for an optimized crystal structure of HoLuSc2, as listed in Alexandria.

## Properties
M_tot   0.0 μB/f.u.

a b c (Å): 3.8069 3.8069 7.5446
angles (deg): 90.00 90.00 90.00
With the nearest neighbours (Å) after each atom.
Fractional positions:
Sc  0.0000  0.0000  0.7575  4 Lu 3.25, 4 Ho 3.32
Sc  0.0000  0.0000  0.2425  4 Lu 3.25, 4 Ho 3.32
Lu  0.5000  0.5000  0.0000  8 Sc 3.25
Ho  0.5000  0.5000  0.5000  8 Sc 3.32

=====

--- two ---
First-principles (GGA-PBE) data for an optimized crystal structure of HoLuSc2, as listed in Alexandria.

## Properties
M_tot   0.0 μB/f.u.

a b c (Å): 4.7077 4.8101 4.8101
angles (deg): 90.00 90.00 90.00
With the nearest neighbours (Å) after each atom.
Fractional positions:
Sc  0.0000  0.0000  0.5000  4 Ho 3.37, 4 Lu 3.37, 4 Sc 3.40
Sc  0.0000  0.5000  0.0000  4 Ho 3.37, 4 Lu 3.37, 4 Sc 3.40
Lu  0.5000  0.0000  0.0000  8 Sc 3.37, 4 Ho 3.40
Ho  0.5000  0.5000  0.5000  8 Sc 3.37, 4 Lu 3.40

=====

Energies relative to the most stable structure are one 45; two 0, reported in meV/atom.